TbAgBiAu: relaxed, PBE-GGA.

a = 7.236 Å, b = 7.236 Å, c = 7.236 Å
α = 90.00°, β = 90.00°, γ = 90.00°
Space group F-43m (No. 216)
Symmetry-distinct sites (fractional):
Tb (0.000, 0.000, 0.000) (multiplicity 4)
Ag (0.250, 0.250, 0.750) (multiplicity 4)
Bi (0.000, 0.000, 0.500) (multiplicity 4)
Au (0.250, 0.250, 0.250) (multiplicity 4)

calculated formation energy = -417.5 meV per atom
raw total energy = -4.0775 eV per atom
crystal system = cubic



MnPd3C: relaxed, PBE-GGA.

a = 4.154 Å, b = 4.154 Å, c = 4.154 Å
α = 90.00°, β = 90.00°, γ = 90.00°
Space group Pm-3m (No. 221)
Symmetry-distinct sites (fractional):
Mn (0.000, 0.000, 0.000) (multiplicity 1)
Pd (0.000, 0.500, 0.500) (multiplicity 3)
C (0.500, 0.500, 0.500) (multiplicity 1)

calculated formation energy = 204.0 meV per atom
ΔE to the lowest computed polymorph = 0 meV/atom
raw total energy = -6.5904 eV per atom
crystal system = cubic



Rh2SClF: relaxed, PBE-GGA.

a = 4.440 Å, b = 4.440 Å, c = 4.206 Å
α = 90.00°, β = 90.00°, γ = 90.00°
Space group P4/mmm (No. 123)
Symmetry-distinct sites (fractional):
Rh (0.000, 0.500, 0.000) (multiplicity 2)
S (0.000, 0.000, 0.000) (multiplicity 1)
Cl (0.500, 0.500, 0.500) (multiplicity 1)
F (0.000, 0.000, 0.500) (multiplicity 1)

raw total energy = -4.4951 eV per atom
crystal system = tetragonal
E_form (uncorrected) = 0.01 eV per atom



What did the second record say?
MnPd3C: relaxed, PBE-GGA.

a = 4.154 Å, b = 4.154 Å, c = 4.154 Å
α = 90.00°, β = 90.00°, γ = 90.00°
Space group Pm-3m (No. 221)
Symmetry-distinct sites (fractional):
Mn (0.000, 0.000, 0.000) (multiplicity 1)
Pd (0.000, 0.500, 0.500) (multiplicity 3)
C (0.500, 0.500, 0.500) (multiplicity 1)

calculated formation energy = 204.0 meV per atom
ΔE to the lowest computed polymorph = 0 meV/atom
raw total energy = -6.5904 eV per atom
crystal system = cubic